Record 1
Entry from Alexandria via LeMat-Bulk: a relaxed RbVS4 crystal (PBE).

Cell: 5.700 7.612 9.242 Å, 65.68 87.52 83.98°
Positions (direct):
Rb (0.750, 0.323, 0.354)
Rb (0.250, 0.677, 0.646)
V (0.250, 0.920, 0.160)
V (0.750, 0.080, 0.840)
S (0.794, 0.374, 0.699)
S (0.164, 0.944, 0.885)
S (0.706, 0.927, 0.699)
S (0.336, 0.171, 0.885)
S (0.664, 0.829, 0.115)
S (0.294, 0.073, 0.301)
S (0.836, 0.056, 0.115)
S (0.206, 0.626, 0.301)

- electronic total energy (eV for the cell shown) = -61.92
- E_form (uncorrected) (eV/atom) = -0.73
- SG = No. 15

---

Record 2
Entry from Alexandria via LeMat-Bulk: a relaxed RbVS2 crystal (PBE).

Cell: 5.587 7.057 7.057 Å, 117.65 101.34 101.34°
Last column: magnetic moment on the atom in μB.
Positions (direct):
Rb (0.750, 0.851, 0.149)  0.00
Rb (0.250, 0.149, 0.851)  0.00
V (0.750, 0.498, 0.502)  0.52
V (0.250, 0.502, 0.498)  0.52
S (0.903, 0.415, 0.211)  -0.03
S (0.597, 0.789, 0.585)  -0.03
S (0.097, 0.585, 0.789)  -0.03
S (0.403, 0.211, 0.415)  -0.03

- electronic total energy (eV for the cell shown) = -45.44
- E_form (uncorrected) (eV/atom) = -1.09
- D(E_F) (states/eV per cell) = 5.61
- SG = No. 15

---

Record 3
Entry from Alexandria via LeMat-Bulk: a relaxed Rb2YVS crystal (PBE).

Cell: 6.362 5.249 6.362 Å, 90.00 90.00 90.00°
Last column: magnetic moment on the atom in μB.
Positions (direct):
Y (0.000, 0.500, 0.000)  -0.02
S (0.000, 0.000, 0.000)  0.00
Rb (0.000, 0.000, 0.500)  0.00
Rb (0.500, 0.000, 0.000)  0.00
V (0.500, 0.500, 0.500)  -0.31

- electronic total energy (eV for the cell shown) = -18.53
- E_form (uncorrected) (eV/atom) = 0.62
- D(E_F) (states/eV per cell) = 26.03
- SG = No. 123